A plane-wave DFT calculation with PBE was carried out for a relaxed structure of Mg2TlPb.

Geometry as POSCAR:
```
Mg2TlPb
1.0
3.640 0.000 0.000
0.000 3.743 0.000
0.000 0.000 7.548
Mg Tl Pb
2 1 1
Direct
0.000 0.000 0.237 Mg
0.000 0.000 0.763 Mg
0.500 0.500 0.000 Tl
0.500 0.500 0.500 Pb
```

Values from the calculation:
Energy of formation from the pure elements = -0.048 eV/atom
DOS at the Fermi energy = 0.2344 states/eV per atom
Energy above the lowest structure with this stoichiometry = 2.4 meV/atom
Space-group type = No. 47